[1]
16
Lattice="-7.903 8.276 -0.873 -8.190 -7.949 -1.208 -0.375 -0.053 2.889" Properties=species:S:1:pos:R:3 comment="HfTa | Alexandria | PBE | relaxed" ef_ev_per_atom=0.71 magmom_total_mub_per_fu=0.0 vol_a3_per_atom=23.99 space_group="I4/m, No. 87" pbc="T T T"
Hf -10.423 4.982 0.209
Ta -8.824 -5.084 0.232
Ta -5.181 0.607 -0.661
Hf -4.800 -2.195 -0.663
Ta -13.415 0.744 -0.257
Hf -5.715 3.431 -0.678
Ta -7.601 -2.727 -1.036
Ta -8.493 3.055 -1.046
Hf -11.293 2.523 -1.419
Ta -7.645 5.359 0.576
Hf -10.379 -3.104 -1.403
Hf -13.035 -2.058 -0.259
Hf -3.434 2.332 1.067
Ta -3.054 -0.470 1.065
Hf -6.046 -4.708 0.599
Ta -10.913 -0.279 -1.421



[2]
11
Lattice="4.155 0.000 0.000 2.077 8.687 -0.144 2.077 3.992 7.717" Properties=species:S:1:pos:R:3 comment="Ce2Sm2Se7 | Alexandria | PBE | relaxed" raw_formation_energy_ev_per_atom=-1.72 magmom_total_mub_per_fu=0.4 vol_a3_per_atom=25.54 space_group="Imm2, No. 44" pbc="T T T"
Se 6.232 7.087 6.585
Ce 2.077 3.451 1.129
Se 4.155 8.259 3.795
Se 4.155 9.819 7.026
Sm 4.155 5.542 5.122
Se 2.077 3.521 4.455
Se 4.155 1.837 2.259
Sm 2.077 7.672 1.555
Ce 6.232 10.049 5.070
Se 4.155 5.422 2.100
Se 4.155 4.042 7.633



[3]
20
Lattice="0.877 6.981 -2.832 -3.012 -2.314 -6.637 -11.734 -0.695 5.568" Properties=species:S:1:pos:R:3 comment="In2SeBr2 | Alexandria | PBE | relaxed" raw_formation_energy_ev_per_atom=-0.64 magmom_total_mub_per_fu=0.0 vol_a3_per_atom=35.82 space_group="P2_1/c, No. 14" pbc="T T T"
Se -5.579 3.967 -4.288
Br -10.023 -1.188 -2.867
In -11.930 -0.595 0.676
Se -7.052 4.111 0.735
In -1.241 1.950 -0.657
Br -2.393 1.900 -6.185
Se -8.291 0.005 0.387
Br -11.039 5.562 0.867
In -6.236 1.545 1.057
Br -2.831 -1.590 -4.768
In -12.629 2.023 -3.244
In -7.634 2.428 -4.958
Br -3.847 5.161 -1.034
Se -6.818 -0.138 -4.636
Br -8.748 2.945 -2.441
Br -5.121 1.028 -1.460
Br -11.476 2.072 2.284
In -7.410 -0.554 -2.083
In -6.459 4.527 -1.818
In -1.939 4.567 -4.577



[4]
6
Lattice="-4.815 1.711 1.920 -0.274 -3.158 2.128 3.791 3.798 6.122" Properties=species:S:1:pos:R:3 comment="PmErS | Alexandria | PBE | relaxed" raw_formation_energy_ev_per_atom=-1.11 polymorph_energy_mev_per_atom=145 magmom_total_mub_per_fu=0.0 vol_a3_per_atom=28.28 space_group="Pmmn, No. 59" pbc="T T T"
S 3.430 3.437 5.540
S -2.184 -0.362 2.606
Pm -0.878 0.946 4.715
Pm 2.124 2.128 3.431
Er 0.867 4.136 6.249
Er 0.379 -1.062 1.898



[5]
3
Lattice="-0.818 -4.657 1.682 -1.250 -3.887 -2.918 3.302 3.766 0.320" Properties=species:S:1:pos:R:3 comment="ScZnOs | Alexandria | PBE | relaxed" ef_ev_per_atom=-0.21 magmom_total_mub_per_fu=0.0 vol_a3_per_atom=16.23 space_group="I4mm, No. 107" pbc="T T T"
Os -0.013 -0.054 -0.008
Zn -1.350 -5.577 -0.807
Sc -0.705 -2.912 -0.421



[6]
9
Lattice="3.403 0.000 0.000 -1.702 6.205 0.095 0.000 -2.076 5.623" Properties=species:S:1:pos:R:3 comment="Li2Nd2NpN4 | Alexandria | PBE | relaxed" raw_formation_energy_ev_per_atom=-0.88 magmom_total_mub_per_fu=2.8 vol_a3_per_atom=13.27 space_group="C2/m, No. 12" pbc="T T T"
N 0.000 5.368 1.402
Nd 0.000 0.554 3.223
Nd 1.702 3.575 2.495
N 1.702 -1.239 4.316
N 1.702 2.038 4.469
N 0.000 2.091 1.248
Li 0.000 1.843 5.655
Li 1.702 2.286 0.063
Np 0.000 0.000 0.000



[7]
4
Lattice="-0.123 2.784 0.463 -5.734 -0.082 -1.028 -3.891 -0.746 3.448" Properties=species:S:1:pos:R:3 comment="YMn2W | Alexandria | PBE | relaxed" polymorph_energy_mev_per_atom=444 ef_ev_per_atom=0.68 magmom_total_mub_per_fu=4.3 vol_a3_per_atom=17.03 space_group="P2/m, No. 10" pbc="T T T"
Y -1.945 -0.373 1.724
Mn -2.929 1.351 -0.282
Mn 0.000 0.000 0.000
W -4.874 0.978 1.442



[8]
3
Lattice="3.413 0.000 0.000 0.000 3.413 0.000 -1.706 -1.706 4.202" Properties=species:S:1:pos:R:3 comment="ScCuPt | Alexandria | PBE | relaxed" polymorph_energy_mev_per_atom=27 ef_ev_per_atom=-0.75 magmom_total_mub_per_fu=0.0 vol_a3_per_atom=16.31 space_group="I4mm, No. 107" pbc="T T T"
Sc 1.706 1.706 0.947
Pt 1.706 1.706 3.797
Cu 0.000 0.000 2.399



[9]
8
Lattice="4.005 0.000 0.000 0.000 6.971 0.170 0.000 -2.417 7.541" Properties=species:S:1:pos:R:3 comment="In4Hg2SeS | Alexandria | PBE | relaxed" raw_formation_energy_ev_per_atom=-0.24 magmom_total_mub_per_fu=0.0 vol_a3_per_atom=26.52 space_group="P2/m, No. 10" pbc="T T T"
In 2.002 3.358 5.920
Se 0.000 0.000 0.000
Hg 2.002 -1.209 3.771
In 0.000 4.558 1.841
In 0.000 -0.004 5.871
S 2.002 3.485 0.085
Hg 0.000 2.277 3.856
In 2.002 1.196 1.792



[10]
10
Lattice="6.679 0.000 0.000 3.339 5.784 0.000 3.339 1.928 5.453" Properties=species:S:1:pos:R:3 comment="Cs2TlHgF6 | Alexandria | PBE | relaxed" raw_formation_energy_ev_per_atom=-2.11 magmom_total_mub_per_fu=0.0 vol_a3_per_atom=21.06 space_group="Fm-3m, No. 225" pbc="T T T"
F 8.341 4.816 1.369
Cs 3.339 1.928 1.363
F 6.679 1.936 1.369
Hg 6.679 3.856 2.727
Cs 10.018 5.784 4.090
F 5.016 4.816 1.369
F 6.679 5.776 4.084
F 5.016 2.896 4.084
Tl 0.000 0.000 0.000
F 8.341 2.896 4.084



[11]
7
Lattice="3.461 0.000 0.000 0.000 8.396 -0.753 -1.731 -3.515 7.830" Properties=species:S:1:pos:R:3 comment="Dy2Ho2Tm3 | Alexandria | PBE | relaxed" polymorph_energy_mev_per_atom=73 ef_ev_per_atom=0.12 magmom_total_mub_per_fu=0.0 vol_a3_per_atom=31.20 space_group="C2/m, No. 12" pbc="T T T"
Ho 1.731 7.157 0.342
Dy 0.000 1.691 2.057
Tm 0.000 5.253 2.713
Ho 0.000 -2.276 6.735
Tm 1.731 -0.371 4.364
Tm 0.000 4.198 -0.376
Dy 1.731 3.190 5.020



[12]
5
Lattice="-1.442 0.946 4.974 -3.602 -3.826 -0.317 6.739 -2.697 -0.320" Properties=species:S:1:pos:R:3 comment="RbIn2HgBi | Alexandria | PBE | relaxed" ef_ev_per_atom=-0.15 magmom_total_mub_per_fu=0.0 vol_a3_per_atom=34.58 space_group="I-4m2, No. 119" pbc="T T T"
In 3.210 -3.149 1.529
In -1.515 -2.428 2.808
Rb 0.000 0.000 0.000
Bi 0.307 -3.981 0.846
Hg 1.388 -1.596 3.491



[13]
11
Lattice="6.850 0.000 0.000 -3.425 3.222 -1.695 0.000 0.527 6.189" Properties=species:S:1:pos:R:3 comment="TeP2H8 | Alexandria | PBE | relaxed" magmom_total_mub_per_fu=0.0 vol_a3_per_atom=12.98 final_energy_ev_per_atom=-3.576 space_group="C2/m, No. 12" pbc="T T T"
H 2.062 1.002 0.507
Te 0.000 0.000 0.000
H -1.363 2.747 3.987
H 0.000 3.448 2.380
H 1.363 2.747 3.987
H 0.000 1.301 2.642
H 3.425 0.301 2.115
H 4.788 1.002 0.507
H 3.425 2.448 1.852
P 0.000 2.486 3.435
P 3.425 1.263 1.059